The following is a DFT calculation (GGA-PBE) of a geometry-optimized K2PuInCl8 structure.

Summary:
Energy relative to the elements, uncorrected = -1.64 eV per atom
VASP energy = -4.48 eV per atom

Unit cell a=6.9924 b=6.7334 c=8.4047 alpha=89.99 beta=90.00 gamma=92.98
Site moments in Bohr magnetons follow the coordinates.
Sites, in units of the cell vectors:
K (0.5000, 0.5000, 0.7575)  0.00
K (0.5000, 0.5000, 0.2425)  0.00
Pu (0.0000, 0.0000, 0.5000)  5.04
In (0.0000, 0.0000, 0.0000)  0.01
Cl (0.1308, 0.7868, 0.2382)  -0.02
Cl (0.6998, 0.7941, 0.0000)  0.00
Cl (0.8691, 0.2131, 0.2381)  -0.02
Cl (0.8692, 0.2132, 0.7618)  -0.02
Cl (0.3002, 0.2059, 0.0000)  0.00
Cl (0.1309, 0.7869, 0.7619)  -0.02
Cl (0.6813, 0.7686, 0.5000)  -0.03
Cl (0.3187, 0.2314, 0.5000)  -0.03